A crystal of Tm3Ge2Rh2 relaxed with PBEsol, computed with SCAN.

a = 5.4688 Å, b = 7.5622 Å, c = 12.9750 Å
α = 90.00°, β = 90.00°, γ = 90.00°
Last column: nearest neighbours and their distance in Å.
Positions (direct):
Tm  0.6281  0.2638  0.2500  5 Ge 2.93-3.25, 4 Rh 2.96-2.97
Tm  0.3719  0.7362  0.7500  5 Ge 2.93-3.25, 4 Rh 2.96-2.97
Tm  0.3719  0.7638  0.2500  5 Ge 2.93-3.25, 4 Rh 2.96-2.97
Tm  0.6281  0.2362  0.7500  5 Ge 2.93-3.25, 4 Rh 2.96-2.97
Tm  0.1461  0.3981  0.0996  4 Rh 2.82-3.06, 4 Ge 2.90-3.12
Tm  0.8539  0.6019  0.9004  4 Rh 2.82-3.06, 4 Ge 2.90-3.12
Tm  0.8539  0.6019  0.5996  4 Rh 2.82-3.06, 4 Ge 2.90-3.12
Tm  0.8539  0.8981  0.4004  4 Rh 2.82-3.06, 4 Ge 2.90-3.12
Tm  0.1461  0.3981  0.4004  4 Rh 2.82-3.06, 4 Ge 2.90-3.12
Tm  0.1461  0.1019  0.5996  4 Rh 2.82-3.06, 4 Ge 2.90-3.12
Tm  0.1461  0.1019  0.9004  4 Rh 2.82-3.06, 4 Ge 2.90-3.12
Tm  0.8539  0.8981  0.0996  4 Rh 2.82-3.06, 4 Ge 2.90-3.12
Ge  0.1228  0.1141  0.2500  2 Rh 2.51
Ge  0.8772  0.8859  0.7500  2 Rh 2.51
Ge  0.8772  0.6141  0.2500  2 Rh 2.51
Ge  0.1228  0.3859  0.7500  2 Rh 2.51
Ge  0.6730  0.2500  0.0000  4 Rh 2.55-2.56
Ge  0.3270  0.7500  0.0000  4 Rh 2.55-2.56
Ge  0.3270  0.7500  0.5000  4 Rh 2.55-2.56
Ge  0.6730  0.2500  0.5000  4 Rh 2.55-2.56
Rh  0.3735  0.0471  0.0926  3 Ge 2.51-2.56
Rh  0.6265  0.9529  0.9074  3 Ge 2.51-2.56
Rh  0.6265  0.9529  0.5926  3 Ge 2.51-2.56
Rh  0.6265  0.5471  0.4074  3 Ge 2.51-2.56
Rh  0.3735  0.0471  0.4074  3 Ge 2.51-2.56
Rh  0.3735  0.4529  0.5926  3 Ge 2.51-2.56
Rh  0.3735  0.4529  0.9074  3 Ge 2.51-2.56
Rh  0.6265  0.5471  0.0926  3 Ge 2.51-2.56

Properties
- SG = No. 57
- E_form (kJ/mol of formula units) = -730
- spin magnetization (μB/cell) = 0.000


A crystal of TmGeRh relaxed with PBEsol, computed with SCAN.

a = 4.2239 Å, b = 6.7385 Å, c = 7.4241 Å
α = 90.00°, β = 90.00°, γ = 90.00°
Last column: nearest neighbours and their distance in Å.
Positions (direct):
Tm  0.7500  0.9963  0.8051  5 Ge 2.94-2.95, 6 Rh 2.94-3.26
Tm  0.2500  0.0037  0.1949  5 Ge 2.94-2.95, 6 Rh 2.94-3.26
Tm  0.7500  0.4963  0.6949  5 Ge 2.94-2.95, 6 Rh 2.94-3.26
Tm  0.2500  0.5037  0.3051  5 Ge 2.94-2.95, 6 Rh 2.94-3.26
Ge  0.7500  0.7139  0.1076  4 Rh 2.51-2.57
Ge  0.2500  0.2861  0.8924  4 Rh 2.51-2.57
Ge  0.7500  0.2139  0.3924  4 Rh 2.51-2.57
Ge  0.2500  0.7861  0.6076  4 Rh 2.51-2.57
Rh  0.2500  0.1566  0.5663  4 Ge 2.51-2.57
Rh  0.7500  0.8434  0.4337  4 Ge 2.51-2.57
Rh  0.2500  0.6566  0.9337  4 Ge 2.51-2.57
Rh  0.7500  0.3434  0.0663  4 Ge 2.51-2.57

Properties
- SG = No. 62
- E_form (kJ/mol of formula units) = -336
- spin magnetization (μB/cell) = 0.000


A crystal of Tm2Ge5Rh3 relaxed with PBEsol, computed with SCAN.

a = 5.7476 Å, b = 8.2045 Å, c = 8.2045 Å
α = 94.47°, β = 108.57°, γ = 108.57°
Last column: nearest neighbours and their distance in Å.
Positions (direct):
Tm  0.2367  0.5890  0.8711  10 Ge 2.98-3.34, 4 Rh 3.11-3.22
Tm  0.2633  0.1289  0.4110  10 Ge 2.98-3.34, 4 Rh 3.11-3.22
Tm  0.7633  0.4110  0.1289  10 Ge 2.98-3.34, 4 Rh 3.11-3.22
Tm  0.7367  0.8711  0.5890  10 Ge 2.98-3.34, 4 Rh 3.11-3.22
Ge  0.1697  0.2656  0.0790  3 Rh 2.36-2.53, 1 Ge 2.64
Ge  0.3303  0.9210  0.7344  3 Rh 2.36-2.53, 1 Ge 2.64
Ge  0.8303  0.7344  0.9210  3 Rh 2.36-2.53, 1 Ge 2.64
Ge  0.6697  0.0790  0.2656  3 Rh 2.36-2.53, 1 Ge 2.64
Ge  0.2500  0.7951  0.2049  3 Rh 2.39-2.46, 2 Ge 2.64
Ge  0.7500  0.2049  0.7951  3 Rh 2.39-2.46, 2 Ge 2.64
Ge  0.2500  0.4862  0.5138  4 Rh 2.43-2.46
Ge  0.7500  0.5138  0.4862  4 Rh 2.43-2.46
Ge  0.2500  0.2206  0.7794  3 Rh 2.52-2.67, 2 Ge 2.66
Ge  0.7500  0.7794  0.2206  3 Rh 2.52-2.67, 2 Ge 2.66
Rh  0.3744  0.5478  0.2615  5 Ge 2.36-2.52
Rh  0.1256  0.7385  0.4522  5 Ge 2.36-2.52
Rh  0.6256  0.4522  0.7385  5 Ge 2.36-2.52
Rh  0.8744  0.2615  0.5478  5 Ge 2.36-2.52
Rh  0.2500  0.9992  0.0008  6 Ge 2.45-2.67
Rh  0.7500  0.0008  0.9992  6 Ge 2.45-2.67

Properties
- SG = No. 15
- E_form (kJ/mol of formula units) = -866
- spin magnetization (μB/cell) = 0.000


A crystal of Tm5Ge10Rh4 relaxed with PBEsol, computed with SCAN.

a = 4.2071 Å, b = 12.7965 Å, c = 12.7965 Å
α = 90.00°, β = 90.00°, γ = 90.00°
Last column: nearest neighbours and their distance in Å.
Positions (direct):
Tm  0.5000  0.1135  0.6135  10 Ge 3.18-3.30, 4 Rh 3.25
Tm  0.5000  0.6135  0.8865  10 Ge 3.18-3.30, 4 Rh 3.25
Tm  0.5000  0.3865  0.1135  10 Ge 3.18-3.30, 4 Rh 3.25
Tm  0.5000  0.8865  0.3865  10 Ge 3.18-3.30, 4 Rh 3.25
Tm  0.5000  0.3259  0.8259  8 Ge 2.86-3.07, 4 Rh 3.05
Tm  0.5000  0.8259  0.6741  8 Ge 2.86-3.07, 4 Rh 3.05
Tm  0.5000  0.1741  0.3259  8 Ge 2.86-3.07, 4 Rh 3.05
Tm  0.5000  0.6741  0.1741  8 Ge 2.86-3.07, 4 Rh 3.05
Tm  0.0000  0.5000  0.5000  8 Ge 2.91, 4 Rh 3.16
Tm  0.0000  0.0000  0.0000  8 Ge 2.91, 4 Rh 3.16
Ge  0.5000  0.3430  0.4967  2 Rh 2.40
Ge  0.5000  0.6570  0.5033  2 Rh 2.40
Ge  0.5000  0.5033  0.3430  2 Rh 2.40
Ge  0.5000  0.4967  0.6570  2 Rh 2.40
Ge  0.5000  0.9967  0.8430  2 Rh 2.40
Ge  0.5000  0.8430  0.0033  2 Rh 2.40
Ge  0.5000  0.1570  0.9967  2 Rh 2.40
Ge  0.5000  0.0033  0.1570  2 Rh 2.40
Ge  0.0000  0.3374  0.3007  2 Rh 2.42-2.53, 1 Ge 2.50
Ge  0.0000  0.6626  0.6993  2 Rh 2.42-2.53, 1 Ge 2.50
Ge  0.0000  0.6993  0.3374  2 Rh 2.42-2.53, 1 Ge 2.50
Ge  0.0000  0.3007  0.6626  2 Rh 2.42-2.53, 1 Ge 2.50
Ge  0.0000  0.8007  0.8374  2 Rh 2.42-2.53, 1 Ge 2.50
Ge  0.0000  0.8374  0.1993  2 Rh 2.42-2.53, 1 Ge 2.50
Ge  0.0000  0.1626  0.8007  2 Rh 2.42-2.53, 1 Ge 2.50
Ge  0.0000  0.1993  0.1626  2 Rh 2.42-2.53, 1 Ge 2.50
Ge  0.0000  0.4332  0.9332  1 Ge 2.42, 2 Rh 2.46
Ge  0.0000  0.9332  0.5668  1 Ge 2.42, 2 Rh 2.46
Ge  0.0000  0.5668  0.0668  1 Ge 2.42, 2 Rh 2.46
Ge  0.0000  0.0668  0.4332  1 Ge 2.42, 2 Rh 2.46
Rh  0.0000  0.2464  0.9795  5 Ge 2.40-2.53
Rh  0.0000  0.7536  0.0205  5 Ge 2.40-2.53
Rh  0.0000  0.0205  0.2464  5 Ge 2.40-2.53
Rh  0.0000  0.9795  0.7536  5 Ge 2.40-2.53
Rh  0.0000  0.4795  0.7464  5 Ge 2.40-2.53
Rh  0.0000  0.7464  0.5205  5 Ge 2.40-2.53
Rh  0.0000  0.2536  0.4795  5 Ge 2.40-2.53
Rh  0.0000  0.5205  0.2536  5 Ge 2.40-2.53

Properties
- SG = No. 127
- E_form (kJ/mol of formula units) = -1683
- spin magnetization (μB/cell) = 0.000


A crystal of YGe3Rh relaxed with PBEsol, computed with SCAN.

a = 4.7472 Å, b = 4.7472 Å, c = 4.7472 Å
α = 90.00°, β = 90.00°, γ = 90.00°
Last column: nearest neighbours and their distance in Å.
Positions (direct):
Y  0.5000  0.5000  0.5000  12 Ge 3.36
Ge  0.0000  0.5000  0.0000  2 Rh 2.37
Ge  0.0000  0.0000  0.5000  2 Rh 2.37
Ge  0.5000  0.0000  0.0000  2 Rh 2.37
Rh  0.0000  0.0000  0.0000  6 Ge 2.37

Properties
- SG = No. 221
- E_form (kJ/mol of formula units) = -65
- spin magnetization (μB/cell) = 0.000


A crystal of Y2Ge5Rh3 relaxed with PBEsol, computed with SCAN.

a = 5.7993 Å, b = 8.2373 Å, c = 8.2373 Å
α = 94.14°, β = 108.83°, γ = 108.83°
Last column: nearest neighbours and their distance in Å.
Positions (direct):
Y  0.2374  0.5926  0.8700  9 Ge 2.98-3.34, 4 Rh 3.13-3.25
Y  0.2626  0.1300  0.4074  9 Ge 2.98-3.34, 4 Rh 3.13-3.25
Y  0.7626  0.4074  0.1300  9 Ge 2.98-3.34, 4 Rh 3.13-3.25
Y  0.7374  0.8700  0.5926  9 Ge 2.98-3.34, 4 Rh 3.13-3.25
Ge  0.1690  0.2654  0.0752  3 Rh 2.38-2.54, 2 Ge 2.64-2.66
Ge  0.3310  0.9248  0.7346  3 Rh 2.38-2.54, 2 Ge 2.64-2.66
Ge  0.8310  0.7346  0.9248  3 Rh 2.38-2.54, 2 Ge 2.64-2.66
Ge  0.6690  0.0752  0.2654  3 Rh 2.38-2.54, 2 Ge 2.64-2.66
Ge  0.2500  0.7931  0.2069  3 Rh 2.40-2.48, 2 Ge 2.64
Ge  0.7500  0.2069  0.7931  3 Rh 2.40-2.48, 2 Ge 2.64
Ge  0.2500  0.4868  0.5132  4 Rh 2.43-2.46
Ge  0.7500  0.5132  0.4868  4 Rh 2.43-2.46
Ge  0.2500  0.2222  0.7778  3 Rh 2.52-2.70, 2 Ge 2.66
Ge  0.7500  0.7778  0.2222  3 Rh 2.52-2.70, 2 Ge 2.66
Rh  0.3752  0.5459  0.2622  5 Ge 2.38-2.52
Rh  0.1248  0.7378  0.4541  5 Ge 2.38-2.52
Rh  0.6248  0.4541  0.7378  5 Ge 2.38-2.52
Rh  0.8752  0.2622  0.5459  5 Ge 2.38-2.52
Rh  0.2500  0.9986  0.0014  6 Ge 2.47-2.70
Rh  0.7500  0.0014  0.9986  6 Ge 2.47-2.70

Properties
- SG = No. 15
- E_form (kJ/mol of formula units) = -920
- spin magnetization (μB/cell) = 0.000


A crystal of Y2GeRh3 relaxed with PBEsol, computed with SCAN.

a = 5.0497 Å, b = 5.0497 Å, c = 5.0497 Å
α = 66.07°, β = 66.07°, γ = 66.07°
Last column: nearest neighbours and their distance in Å.
Positions (direct):
Y  0.6284  0.6284  0.6284  9 Rh 2.89-3.14, 1 Y 3.02, 3 Ge 3.21
Y  0.3716  0.3716  0.3716  9 Rh 2.89-3.14, 1 Y 3.02, 3 Ge 3.21
Ge  0.0000  0.0000  0.0000  6 Rh 2.52
Rh  0.0000  0.0000  0.5000  2 Ge 2.52, 4 Rh 2.75
Rh  0.5000  0.0000  0.0000  2 Ge 2.52, 4 Rh 2.75
Rh  0.0000  0.5000  0.0000  2 Ge 2.52, 4 Rh 2.75

Properties
- SG = No. 166
- E_form (kJ/mol of formula units) = -593
- spin magnetization (μB/cell) = 0.000


A crystal of Y2Ge2Rh relaxed with PBEsol, computed with SCAN.

a = 4.3847 Å, b = 6.6416 Å, c = 6.6416 Å
α = 90.00°, β = 90.00°, γ = 90.00°
Last column: nearest neighbours and their distance in Å.
Positions (direct):
Y  0.5000  0.1737  0.6737  6 Ge 2.82-3.02
Y  0.5000  0.6737  0.8263  6 Ge 2.82-3.02
Y  0.5000  0.8263  0.3263  6 Ge 2.82-3.02
Y  0.5000  0.3263  0.1737  6 Ge 2.82-3.02
Ge  0.0000  0.3634  0.8634  1 Ge 2.57, 2 Rh 2.58, 2 Y 2.82
Ge  0.0000  0.8634  0.6366  1 Ge 2.57, 2 Rh 2.58, 2 Y 2.82
Ge  0.0000  0.6366  0.1366  1 Ge 2.57, 2 Rh 2.58, 2 Y 2.82
Ge  0.0000  0.1366  0.3634  1 Ge 2.57, 2 Rh 2.58, 2 Y 2.82
Rh  0.0000  0.0000  0.0000  4 Ge 2.58
Rh  0.0000  0.5000  0.5000  4 Ge 2.58

Properties
- SG = No. 127
- E_form (kJ/mol of formula units) = -503
- spin magnetization (μB/cell) = 0.000


A crystal of YGeRh relaxed with PBEsol, computed with SCAN.

a = 4.2627 Å, b = 6.8510 Å, c = 7.4606 Å
α = 90.00°, β = 90.00°, γ = 90.00°
Last column: nearest neighbours and their distance in Å.
Positions (direct):
Y  0.2500  0.5017  0.6938  5 Ge 2.97-2.99, 6 Rh 2.98-3.31
Y  0.7500  0.9983  0.1938  5 Ge 2.97-2.99, 6 Rh 2.98-3.31
Y  0.2500  0.0017  0.8062  5 Ge 2.97-2.99, 6 Rh 2.98-3.31
Y  0.7500  0.4983  0.3062  5 Ge 2.97-2.99, 6 Rh 2.98-3.31
Ge  0.7500  0.7102  0.8943  4 Rh 2.52-2.60
Ge  0.7500  0.2102  0.6057  4 Rh 2.52-2.60
Ge  0.2500  0.2898  0.1057  4 Rh 2.52-2.60
Ge  0.2500  0.7898  0.3943  4 Rh 2.52-2.60
Rh  0.7500  0.3444  0.9322  4 Ge 2.52-2.60
Rh  0.7500  0.8444  0.5678  4 Ge 2.52-2.60
Rh  0.2500  0.1556  0.4322  4 Ge 2.52-2.60
Rh  0.2500  0.6556  0.0678  4 Ge 2.52-2.60

Properties
- SG = No. 62
- E_form (kJ/mol of formula units) = -334
- spin magnetization (μB/cell) = 0.000


A crystal of YGe2Rh4 relaxed with PBEsol, computed with SCAN.

a = 4.1484 Å, b = 9.0425 Å, c = 11.3451 Å
α = 90.00°, β = 90.00°, γ = 90.00°
Last column: nearest neighbours and their distance in Å.
Positions (direct):
Y  0.2500  0.1496  0.8266  5 Rh 2.75-3.02, 2 Ge 2.99
Y  0.2500  0.3504  0.3266  5 Rh 2.75-3.02, 2 Ge 2.99
Y  0.7500  0.8504  0.1734  5 Rh 2.75-3.02, 2 Ge 2.99
Y  0.7500  0.6496  0.6734  5 Rh 2.75-3.02, 2 Ge 2.99
Ge  0.2500  0.4153  0.6386  7 Rh 2.38-2.60
Ge  0.2500  0.0847  0.1386  7 Rh 2.38-2.60
Ge  0.7500  0.5847  0.3614  7 Rh 2.38-2.60
Ge  0.7500  0.9153  0.8614  7 Rh 2.38-2.60
Ge  0.2500  0.6178  0.0596  8 Rh 2.48-2.67
Ge  0.2500  0.8822  0.5596  8 Rh 2.48-2.67
Ge  0.7500  0.3822  0.9404  8 Rh 2.48-2.67
Ge  0.7500  0.1178  0.4404  8 Rh 2.48-2.67
Rh  0.2500  0.6158  0.4974  4 Ge 2.42-2.60, 1 Rh 2.67
Rh  0.2500  0.8842  0.9974  4 Ge 2.42-2.60, 1 Rh 2.67
Rh  0.7500  0.3842  0.5026  4 Ge 2.42-2.60, 1 Rh 2.67
Rh  0.7500  0.1158  0.0026  4 Ge 2.42-2.60, 1 Rh 2.67
Rh  0.2500  0.6911  0.2701  3 Ge 2.48-2.51, 1 Rh 2.67, 2 Y 2.75
Rh  0.2500  0.8089  0.7701  3 Ge 2.48-2.51, 1 Rh 2.67, 2 Y 2.75
Rh  0.7500  0.3089  0.7299  3 Ge 2.48-2.51, 1 Rh 2.67, 2 Y 2.75
Rh  0.7500  0.1911  0.2299  3 Ge 2.48-2.51, 1 Rh 2.67, 2 Y 2.75
Rh  0.2500  0.1711  0.5613  4 Ge 2.38-2.61
Rh  0.2500  0.3289  0.0613  4 Ge 2.38-2.61
Rh  0.7500  0.8289  0.4387  4 Ge 2.38-2.61
Rh  0.7500  0.6711  0.9387  4 Ge 2.38-2.61
Rh  0.2500  0.0032  0.3449  4 Ge 2.45-2.67
Rh  0.2500  0.4968  0.8449  4 Ge 2.45-2.67
Rh  0.7500  0.9968  0.6551  4 Ge 2.45-2.67
Rh  0.7500  0.5032  0.1551  4 Ge 2.45-2.67

Properties
- SG = No. 62
- E_form (kJ/mol of formula units) = -589
- spin magnetization (μB/cell) = 0.001


A crystal of Zn2Ge2Rh relaxed with PBEsol, computed with SCAN.

a = 3.0308 Å, b = 5.0512 Å, c = 10.4942 Å
α = 85.20°, β = 81.70°, γ = 72.54°
Last column: nearest neighbours and their distance in Å.
Positions (direct):
Ge  0.8810  0.7600  0.4780  3 Rh 2.48-2.58, 1 Ge 2.53
Ge  0.3371  0.2361  0.0898  7 Zn 2.59-2.79, 1 Rh 2.60
Ge  0.1190  0.2400  0.5220  3 Rh 2.48-2.58, 1 Ge 2.53
Ge  0.6629  0.7639  0.9102  7 Zn 2.59-2.79, 1 Rh 2.60
Rh  0.3584  0.9705  0.3126  4 Ge 2.48-2.60, 5 Zn 2.64-2.66
Rh  0.6416  0.0295  0.6874  4 Ge 2.48-2.60, 5 Zn 2.64-2.66
Zn  0.3589  0.5758  0.7063  3 Rh 2.65-2.66, 2 Zn 2.74, 4 Ge 2.79-2.92
Zn  0.0524  0.7628  0.1325  5 Ge 2.59-2.76, 2 Rh 2.64, 2 Zn 2.74
Zn  0.6411  0.4242  0.2937  3 Rh 2.65-2.66, 2 Zn 2.74, 4 Ge 2.79-2.92
Zn  0.9476  0.2372  0.8675  5 Ge 2.59-2.76, 2 Rh 2.64, 2 Zn 2.74

Properties
- SG = No. 12
- E_form (kJ/mol of formula units) = -85
- spin magnetization (μB/cell) = 0.000


A crystal of ZrGeRh relaxed with PBEsol, computed with SCAN.

a = 3.9699 Å, b = 6.5611 Å, c = 7.5193 Å
α = 90.00°, β = 90.00°, γ = 90.00°
Last column: nearest neighbours and their distance in Å.
Positions (direct):
Ge  0.2500  0.7342  0.8842  4 Rh 2.48-2.52
Ge  0.2500  0.2342  0.6158  4 Rh 2.48-2.52
Ge  0.7500  0.7658  0.3842  4 Rh 2.48-2.52
Ge  0.7500  0.2658  0.1158  4 Rh 2.48-2.52
Rh  0.2500  0.3547  0.9345  4 Ge 2.48-2.52
Rh  0.2500  0.8547  0.5655  4 Ge 2.48-2.52
Rh  0.7500  0.1453  0.4345  4 Ge 2.48-2.52
Rh  0.7500  0.6453  0.0655  4 Ge 2.48-2.52
Zr  0.7500  0.0217  0.8092  5 Ge 2.80-2.83, 5 Rh 2.92-3.10
Zr  0.7500  0.5217  0.6908  5 Ge 2.80-2.83, 5 Rh 2.92-3.10
Zr  0.2500  0.4783  0.3092  5 Ge 2.80-2.83, 5 Rh 2.92-3.10
Zr  0.2500  0.9783  0.1908  5 Ge 2.80-2.83, 5 Rh 2.92-3.10

Properties
- SG = No. 62
- E_form (kJ/mol of formula units) = -321
- spin magnetization (μB/cell) = 0.000